[1]
Below is a relaxed MnAg2Sn3S8 crystal, with properties calculated at the GGA-PBE level.

Structure (POSCAR):
```
MnAg2Sn3S8
1.0
3.837 2.215 6.168
-3.837 2.215 6.168
0.000 -4.431 6.168
Mn Ag Sn S
1 2 3 8
Cartesian
0.000 0.000 0.000 Mn
0.000 0.000 7.175 Ag
0.000 0.000 11.330 Ag
-3.837 0.000 9.252 Sn
-1.919 1.108 3.084 Sn
1.919 1.108 3.084 Sn
-2.103 -1.214 10.764 S
0.000 -2.429 7.741 S
-2.103 1.214 7.741 S
0.000 0.000 4.547 S
0.000 0.000 13.957 S
2.103 -1.214 10.764 S
0.000 2.429 10.764 S
2.103 1.214 7.741 S
```

Total magnetic moment (Bohr magnetons per cell): 4.58
Distance to the lowest polymorph of the same formula (meV per atom): 0
Energy relative to the elements, uncorrected (eV per atom): -0.362
E (Ry per atom): -0.3411


[2]
Below is a relaxed CeSmMnZn crystal, with properties calculated at the GGA-PBE level.

Structure (POSCAR):
```
CeSmMnZn
1.0
0.000 3.592 3.592
3.592 0.000 3.592
3.592 3.592 0.000
Ce Sm Mn Zn
1 1 1 1
Cartesian
0.000 0.000 0.000 Ce
3.592 3.592 3.592 Sm
5.388 5.388 5.388 Mn
1.796 1.796 1.796 Zn
```

Total magnetic moment (Bohr magnetons per cell): 1.96
E (Ry per atom): -0.3858